10
Lattice="-5.6458 2.2767 1.1090 -2.2584 -5.7524 0.3124 -3.1434 -1.8223 5.0009" Properties=species:S:1:pos:R:3 comment="Cs2CoTcF6, optimized geometry, DFT GGA+U" total_energy_ev_per_fu=-48.94 pbc="T T T"
F -3.0621 -3.8474 0.5014
F -4.8421 0.3717 0.9200
F -6.0288 -2.6510 1.0842
F -7.5106 -3.5168 3.5093
F -1.8754 -0.8246 0.3373
F -3.5370 -1.7812 2.9130
Cs -6.3706 -0.6417 3.4103
Cs -4.6769 -4.6563 3.0120
Co -3.9521 -1.7378 0.7107
Tc 0.0000 0.0000 0.0000